# SnIr3 PBE relaxed
# energy of formation from the pure elements	0.05	eV per atom
# density	18.2	g/cm3
# M_tot	0.0	μB per formula unit
# DOS at the Fermi energy	1.793	states/eV/f.u.
# calculated total energy	-7.593	eV per atom
data_SnIr3
_cell_length_a 5.6847
_cell_length_b 5.6847
_cell_length_c 4.5414
_cell_angle_alpha 90.00
_cell_angle_beta 90.00
_cell_angle_gamma 120.00
_space_group_name_H-M_alt 'P 63/m m c'
_space_group_IT_number 194
_space_group_name_Hall '-P 6c 2c'
loop_
_atom_site_label
_atom_site_type_symbol
_atom_site_fract_x
_atom_site_fract_y
_atom_site_fract_z
Sn1 Sn 0.3333 0.6667 0.2500
Ir1 Ir 0.1623 0.3246 0.7500

=====

# NaPmPr PBE relaxed
# energy of formation from the pure elements	0.12	eV per atom
# density	4.8	g/cm3
# M_tot	0.0	μB per formula unit
# DOS at the Fermi energy	3.241	states/eV/f.u.
# E above lowest polymorph	14	meV/atom
# calculated total energy	-3.497	eV per atom
data_NaPmPr
_cell_length_a 3.589
_cell_length_b 3.589
_cell_length_c 16.664
_cell_angle_alpha 90.00
_cell_angle_beta 90.00
_cell_angle_gamma 90.00
_space_group_name_H-M_alt 'I 4 m m'
_space_group_IT_number 107
_space_group_name_Hall 'I 4 -2'
loop_
_atom_site_label
_atom_site_type_symbol
_atom_site_fract_x
_atom_site_fract_y
_atom_site_fract_z
Na1 Na 0.000 0.000 0.000
Pm1 Pm 0.000 0.000 0.328
Pr1 Pr 0.000 0.000 0.674

=====

# GeP2 PBE relaxed
# energy of formation from the pure elements	0.12	eV per atom
# density	4.0	g/cm3
# M_tot	0.0	μB per formula unit
# DOS at the Fermi energy	1.328	states/eV/f.u.
# calculated total energy	-5.030	eV per atom
data_GeP2
_cell_length_a 4.911
_cell_length_b 6.092
_cell_length_c 3.750
_cell_angle_alpha 90.00
_cell_angle_beta 90.00
_cell_angle_gamma 90.00
_space_group_name_H-M_alt 'P n n m'
_space_group_IT_number 58
loop_
_space_group_symop_operation_xyz
'x,y,z'
'-x,-y,-z'
'-x,-y,z'
'x,y,-z'
'x+1/2,-y+1/2,-z+1/2'
'-x+1/2,y+1/2,z+1/2'
'-x+1/2,y+1/2,-z+1/2'
'x+1/2,-y+1/2,z+1/2'
loop_
_atom_site_label
_atom_site_type_symbol
_atom_site_fract_x
_atom_site_fract_y
_atom_site_fract_z
Ge1 Ge 0.000 0.000 0.000
P1 P 0.174 0.397 0.000